Record 1
This record from Alexandria describes a relaxed CsBa2IrO5 crystal. The functional is PBE.

The structure in POSCAR format:
```
CsBa2IrO5
1.0
-2.018 3.350 6.045
2.018 -3.350 6.045
2.018 3.350 -6.045
Cs Ba Ir O
1 2 1 5
Cartesian
0.000 0.000 0.000
2.018 0.000 3.348
0.000 3.350 2.697
0.000 0.000 6.045
2.018 1.974 -1.491
2.018 1.974 1.491
0.000 3.350 0.000
0.000 1.376 4.554
0.000 1.376 7.536
```

Properties
The volume comes out at 18.17 A^3/atom. The magnetic moment is 1.814 μB/cell. Its raw formation energy is -1714 meV per atom.

Record 2
This record from Alexandria describes a relaxed Dy3Rh crystal. The functional is PBE.

The structure in POSCAR format:
```
Dy3Rh
1.0
3.414 0.000 0.000
0.000 3.655 0.000
0.000 0.000 9.014
Dy Rh
3 1
Cartesian
0.000 0.000 0.000
0.000 1.828 3.062
1.707 1.828 6.463
1.707 0.000 4.388
```

Properties
The volume comes out at 28.13 A^3/atom. Its formation energy is -0.2124 eV/atom. The magnetic moment is 0.000 μB/cell.

Record 3
This record from Alexandria describes a relaxed AgAs2Os crystal. The functional is PBE.

The structure in POSCAR format:
```
AgAs2Os
1.0
4.011 -1.559 0.000
4.011 1.559 0.000
-1.020 0.000 5.613
Ag As Os
1 2 1
Cartesian
0.000 0.000 0.000
1.124 0.000 3.989
5.878 0.000 1.624
3.501 0.000 2.806
```

Properties
The volume comes out at 17.55 A^3/atom. For the excess energy over the best structure of this formula in the dataset, the calculation gives 136 meV per atom. Its formation energy is 0.3210 eV/atom. The magnetic moment is 0.000 μB/cell.

Record 4
This record from Alexandria describes a relaxed Tb12Ho7Er crystal. The functional is PBE.

The structure in POSCAR format:
```
Tb12Ho7Er
1.0
6.374 3.680 4.556
-6.374 3.680 4.556
0.000 -7.360 4.556
Tb Ho Er
12 7 1
Cartesian
-0.404 -2.207 2.084
-1.710 1.453 2.084
-3.588 1.123 5.704
-2.767 -2.546 7.964
0.821 -3.669 5.704
2.113 0.754 2.084
-2.113 -0.754 11.584
-0.821 3.669 7.964
2.767 2.546 5.704
3.588 -1.123 7.964
1.710 -1.453 11.584
0.404 2.207 11.584
0.000 0.000 0.000
-1.706 -1.446 4.750
-0.399 2.200 4.750
2.105 -0.754 4.750
-2.105 0.754 8.918
0.399 -2.200 8.918
1.706 1.446 8.918
0.000 0.000 6.834
```

Properties
The volume comes out at 32.06 A^3/atom. Its formation energy is 0.2938 eV/atom. The magnetic moment is 0.000 μB/cell.

Record 5
This record from Alexandria describes a relaxed CeTm3Ir8 crystal. The functional is PBE.

The structure in POSCAR format:
```
CeTm3Ir8
1.0
2.675 1.545 8.728
-2.675 1.545 8.728
0.000 -3.089 8.728
Ce Tm Ir
1 3 8
Cartesian
0.000 0.000 0.000
0.000 0.000 9.862
0.000 0.000 13.121
0.000 0.000 22.895
0.000 0.000 4.920
0.000 -1.550 15.822
-1.342 0.775 15.822
-1.337 -0.772 20.205
0.000 0.000 18.020
1.337 -0.772 20.205
0.000 1.544 20.205
1.342 0.775 15.822
```

Properties
The volume comes out at 18.03 A^3/atom. For the excess energy over the best structure of this formula in the dataset, the calculation gives 0 meV per atom. Its formation energy is -0.8122 eV/atom. The magnetic moment is 0.000 μB/cell.

Record 6
This record from Alexandria describes a relaxed LaHo2Ag2 crystal. The functional is PBE.

The structure in POSCAR format:
```
LaHo2Ag2
1.0
3.647 0.000 0.000
0.000 5.396 0.000
-1.818 0.000 13.654
La Ho Ag
2 4 4
Cartesian
0.004 1.349 3.950
1.826 4.047 9.704
0.000 4.047 1.288
0.003 4.047 6.397
1.826 1.349 7.257
1.829 1.349 12.366
0.002 1.349 9.774
0.005 4.047 12.499
1.824 1.349 1.156
1.827 4.047 3.880
```

Properties
The volume comes out at 26.87 A^3/atom. Its formation energy is -0.2154 eV/atom. The magnetic moment is 0.000 μB/cell.

Record 7
This record from Alexandria describes a relaxed Zr2MnNb2 crystal. The functional is PBE.

The structure in POSCAR format:
```
Zr2MnNb2
1.0
6.379 0.000 0.000
0.000 6.379 0.000
0.000 0.000 4.826
Zr Mn Nb
4 2 4
Cartesian
1.055 2.135 0.000
2.135 5.324 0.000
4.245 1.055 0.000
5.324 4.245 0.000
0.000 0.000 2.413
3.190 3.190 2.413
0.995 4.184 2.413
2.195 0.995 2.413
4.184 5.384 2.413
5.384 2.195 2.413
```

Properties
The volume comes out at 19.64 A^3/atom. For the excess energy over the best structure of this formula in the dataset, the calculation gives 0 meV per atom. Its formation energy is 0.2013 eV/atom. The magnetic moment is 0.000 μB/cell.

Record 8
This record from Alexandria describes a relaxed Ac2ReWN6 crystal. The functional is PBE.

The structure in POSCAR format:
```
Ac2ReWN6
1.0
5.721 0.000 0.000
0.000 5.721 0.000
0.000 0.000 4.031
Ac Re W N
2 1 1 6
Cartesian
0.000 2.860 0.000
2.860 0.000 0.000
0.000 0.000 2.073
2.860 2.860 1.985
0.000 0.000 4.010
1.419 1.419 2.001
1.419 4.301 2.001
2.860 2.860 4.013
4.301 1.419 2.001
4.301 4.301 2.001
```

Properties
The volume comes out at 13.19 A^3/atom. The magnetic moment is 0.000 μB/cell. Its raw formation energy is -834 meV per atom.

Computed mass density, in the same sequence as the records: 6.90, 8.71, 10.59, 8.36, 16.76, 8.46, 7.16, 11.43 g/cm3.